1.
! ScPRh2 (meta-GGA SCAN, PBEsol geometry); values from VASP
! DOS at the Fermi energy, states/eV/f.u.: 2.493
! Total DFT energy (no corrections), Ry per atom: -1.75223
! Energy of formation, meV/atom: -796
! Symmetry: I-4m2 (119)
&SYSTEM
  ibrav = 0, nat = 4, ntyp = 3
/
ATOMIC_SPECIES
Rh 102.91 Rh.upf
Sc 44.96 Sc.upf
P 30.97 P.upf
CELL_PARAMETERS angstrom
3.683 0.000 0.000
0.000 3.683 0.000
-1.842 -1.842 4.146
ATOMIC_POSITIONS angstrom
Rh 0.000 0.000 0.000
Rh 1.842 0.000 2.073
Sc 1.842 1.842 0.000
P 0.000 1.842 2.073

---

2.
! ScPRh2 (meta-GGA SCAN, PBEsol geometry); values from VASP
! DOS at the Fermi energy, states/eV/f.u.: 1.771
! Total DFT energy (no corrections), Ry per atom: -1.75686
! Energy of formation, meV/atom: -859
! Symmetry: Amm2 (38)
&SYSTEM
  ibrav = 0, nat = 4, ntyp = 3
/
ATOMIC_SPECIES
P 30.97 P.upf
Rh 102.91 Rh.upf
Sc 44.96 Sc.upf
CELL_PARAMETERS angstrom
3.577 0.000 0.000
0.000 3.980 0.000
-1.789 0.000 4.274
ATOMIC_POSITIONS angstrom
P 0.000 1.990 2.677
Rh 1.789 1.990 0.761
Rh 0.000 0.000 1.583
Sc 1.789 0.000 3.460

---

Q: What is the total DFT energy (no corrections) in the second record?
A: -1.75686 Ry per atom

---

Q: Among the records above, which one has the lowest total DFT energy (no corrections)?
A: number 2

---

Q: Look up the energy of formation of the first one.
A: -796 meV/atom

---

Q: Which value of total DFT energy (no corrections) does entry 1 give?
A: -1.75223 Ry per atom